1.
# Ho2Er13

Crystalline Ho2Er13 at its relaxed geometry (PBE-GGA, the Alexandria database).

extended XYZ file:
```
15
Lattice="4.3760 2.5265 7.8655 -4.3760 2.5265 7.8655 0.0000 -5.0529 7.8655" Properties=species:S:1:pos:R:3 pbc="T T T"
Ho 0.0000 0.0000 5.7072
Ho 0.0000 0.0000 17.8894
Er 0.0000 -3.2280 5.3268
Er -2.7955 1.6140 5.3268
Er 0.0000 -1.8545 8.5850
Er -1.6061 0.9273 8.5850
Er -2.7955 -1.6140 18.2698
Er -1.6061 -0.9273 15.0116
Er 0.0000 0.0000 11.7983
Er 1.6061 0.9273 8.5849
Er 2.7955 1.6140 5.3268
Er 1.6061 -0.9273 15.0116
Er 0.0000 1.8545 15.0116
Er 2.7955 -1.6140 18.2698
Er 0.0000 3.2280 18.2698
```

Results
For the relative energy among the computed polymorphs, the calculation gives 554.1 meV/atom. The symmetry is No. 166. For the calculated density, the calculation gives 7.970 g/cm3. The value obtained for the total moment is 0.00 μB per atom. As for the formation energy: 608.0 meV/atom.

=====

2.
# Ho2Er13

Crystalline Ho2Er13 at its relaxed geometry (PBE-GGA, the Alexandria database).

extended XYZ file:
```
15
Lattice="6.5065 0.0000 0.0000 1.3752 8.5033 0.0000 0.8918 3.0474 8.2747" Properties=species:S:1:pos:R:3 pbc="T T T"
Ho 2.0625 3.7966 3.2897
Ho 6.7110 7.7540 4.9850
Er 0.6876 4.2517 0.0000
Er 2.5132 9.9827 5.7240
Er 2.0687 6.7369 2.2117
Er 2.5214 3.6177 8.0721
Er 3.4523 6.2773 5.5196
Er 4.3857 8.9470 2.9728
Er 4.8201 8.7690 7.7266
Er 3.9534 2.7817 0.5481
Er 4.3878 2.6037 5.3019
Er 5.3212 5.2734 2.7550
Er 6.2521 7.9330 0.2025
Er 6.7048 4.8138 6.0630
Er 6.2603 1.5680 2.5506
```

Results
For the relative energy among the computed polymorphs, the calculation gives 0.0 meV/atom. The symmetry is No. 2. For the calculated density, the calculation gives 9.083 g/cm3. The value obtained for the total moment is 0.00 μB per atom. As for the formation energy: 53.9 meV/atom.

=====

3.
# Ho4Er5

Crystalline Ho4Er5 at its relaxed geometry (PBE-GGA, the Alexandria database).

extended XYZ file:
```
9
Lattice="5.5393 -2.4785 0.0000 5.5393 2.4785 0.0000 -3.3220 0.0000 9.9758" Properties=species:S:1:pos:R:3 pbc="T T T"
Ho 10.5246 0.0000 1.6628
Ho -2.7680 0.0000 8.3130
Ho 2.7704 0.0000 2.7716
Ho 4.9862 0.0000 7.2041
Er -1.6610 0.0000 4.9879
Er 1.6619 0.0000 6.0961
Er 0.5555 0.0000 9.4209
Er 7.2012 0.0000 0.5549
Er 6.0948 0.0000 3.8797
```

Results
For the relative energy among the computed polymorphs, the calculation gives 0.0 meV/atom. The symmetry is No. 12. For the calculated density, the calculation gives 9.069 g/cm3. The value obtained for the total moment is 0.00 μB per atom. As for the formation energy: 22.8 meV/atom.

=====

4.
# Ho3Er7

Crystalline Ho3Er7 at its relaxed geometry (PBE-GGA, the Alexandria database).

extended XYZ file:
```
10
Lattice="8.9241 -2.4701 0.0000 8.9241 2.4701 0.0000 -1.3757 0.0000 6.8826" Properties=species:S:1:pos:R:3 pbc="T T T"
Ho 0.0000 0.0000 0.0000
Ho 2.7420 0.0000 4.1291
Ho 13.7305 0.0000 2.7534
Er -0.6878 0.0000 3.4413
Er 3.4311 0.0000 0.6874
Er 6.8637 0.0000 1.3766
Er 6.1778 0.0000 4.8192
Er 10.2947 0.0000 2.0634
Er 9.6088 0.0000 5.5060
Er 13.0414 0.0000 6.1951
```

Results
For the relative energy among the computed polymorphs, the calculation gives 0.0 meV/atom. The symmetry is No. 12. For the calculated density, the calculation gives 9.115 g/cm3. The value obtained for the total moment is 0.00 μB per atom. As for the formation energy: 19.1 meV/atom.

=====

Number 1: DOS at the Fermi energy 18.8 states/eV/f.u.. Number 2: DOS at the Fermi energy 30.6 states/eV/f.u.. Number 3: DOS at the Fermi energy 12.5 states/eV/f.u.. Number 4: DOS at the Fermi energy 12.1 states/eV/f.u..